Record 1
{
  "formula": "Tm4Al16Ir3",
  "functional": "PBE",
  "state": "relaxed",
  "cell": [[-5.733, -0.770, -1.982], [2.025, -0.240, -5.764], [1.186, -11.103, 0.880]],
  "species": ["Al", "Tm", "Al", "Al", "Tm", "Al", "Al", "Al", "Al", "Al", "Ir", "Al", "Al", "Ir", "Al", "Al", "Tm", "Ir", "Al", "Al", "Tm", "Al", "Al"],
  "fractional_positions": [[0.500, 0.500, 0.806], [0.500, 0.000, 0.192], [0.249, 0.751, 0.620], [0.249, 0.249, 0.380], [0.500, 0.000, 0.808], [0.284, 0.716, 0.000], [0.751, 0.249, 0.620], [0.000, 0.000, 0.779], [0.249, 0.751, 0.380], [0.500, 0.500, 0.194], [0.000, 0.500, 0.500], [0.716, 0.284, 0.000], [0.249, 0.249, 0.620], [0.000, 0.000, 0.000], [0.284, 0.284, 0.000], [0.751, 0.249, 0.380], [0.000, 0.500, 0.808], [0.500, 0.000, 0.500], [0.751, 0.751, 0.620], [0.716, 0.716, 0.000], [0.000, 0.500, 0.192], [0.751, 0.751, 0.380], [0.000, 0.000, 0.221]],
  "e_tot_ev_per_atom": -5.1649,
  "sg": "P4/mmm, No. 123"
}

***

Record 2
{
  "formula": "PmPaC2N6",
  "functional": "PBE",
  "state": "relaxed",
  "cell": [[-5.782, 2.434, -1.042], [-0.909, -6.277, 0.462], [0.880, 1.629, 6.582]],
  "species": ["C", "N", "N", "C", "N", "Pm", "Pa", "C", "N", "N", "N", "Pm", "N", "N", "N", "N", "N", "C", "Pa", "N"],
  "fractional_positions": [[0.394, 0.110, 0.746], [0.929, 0.467, 0.210], [0.719, 0.483, 0.589], [0.890, 0.606, 0.754], [0.221, 0.141, 0.625], [0.120, 0.880, 0.250], [0.422, 0.578, 0.750], [0.110, 0.394, 0.246], [0.517, 0.281, 0.911], [0.071, 0.533, 0.790], [0.467, 0.929, 0.710], [0.880, 0.120, 0.750], [0.483, 0.719, 0.089], [0.859, 0.779, 0.875], [0.141, 0.221, 0.125], [0.533, 0.071, 0.290], [0.281, 0.517, 0.411], [0.606, 0.890, 0.254], [0.578, 0.422, 0.250], [0.779, 0.859, 0.375]],
  "e_tot_ev_per_atom": -8.7732,
  "sg": "C2/c, No. 15"
}

***

Record 3
{
  "formula": "TaHgIr4",
  "functional": "PBE",
  "state": "relaxed",
  "cell": [[3.530, -3.224, 2.071], [3.199, 1.698, 3.745], [-0.578, -1.702, 4.890]],
  "species": ["Hg", "Ir", "Ir", "Ir", "Ir", "Ta"],
  "fractional_positions": [[0.000, 0.000, 0.000], [0.876, 0.375, 0.375], [0.375, 0.375, 0.375], [0.375, 0.375, 0.876], [0.375, 0.876, 0.375], [0.750, 0.750, 0.750]],
  "e_tot_ev_per_atom": -7.8127,
  "sg": "F-43m, No. 216"
}

***

Record 4
{
  "formula": "CdGe2Ir2",
  "functional": "PBE",
  "state": "relaxed",
  "cell": [[-0.359, -3.717, 1.017], [3.091, -0.887, -2.153], [4.844, -1.377, 4.043]],
  "species": ["Ir", "Ge", "Ir", "Ge", "Cd"],
  "fractional_positions": [[0.615, 0.615, 0.770], [0.750, 0.250, 0.500], [0.385, 0.385, 0.230], [0.250, 0.750, 0.500], [0.000, 0.000, 0.000]],
  "e_tot_ev_per_atom": -5.7012,
  "sg": "I4/mmm, No. 139",
  "polymorph_energy_ev_per_fu": 0.00
}

***

Record 5
{
  "formula": "DyAl2Cu2Pd",
  "functional": "PBE",
  "state": "relaxed",
  "cell": [[-0.230, -3.809, 2.638], [4.575, -0.603, -0.473], [0.860, 3.030, 4.450]],
  "species": ["Al", "Cu", "Dy", "Al", "Pd", "Cu"],
  "fractional_positions": [[0.000, 0.500, 0.000], [0.500, 0.500, 0.272], [0.000, 0.000, 0.500], [0.500, 0.000, 0.000], [0.000, 0.000, 0.000], [0.500, 0.500, 0.728]],
  "e_tot_ev_per_atom": -4.3805,
  "sg": "P4/mmm, No. 123"
}

***

Record 6
{
  "formula": "Na3Pu3SnSe8",
  "functional": "PBE",
  "state": "relaxed",
  "cell": [[8.365, 0.000, 0.000], [-4.183, 7.244, -0.023], [0.000, -4.804, 6.942]],
  "species": ["Se", "Se", "Pu", "Se", "Pu", "Pu", "Sn", "Na", "Se", "Se", "Se", "Se", "Na", "Na", "Se"],
  "fractional_positions": [[0.741, 0.983, 0.724], [0.743, 0.486, 0.730], [0.000, 0.500, 0.500], [0.241, 0.483, 0.724], [0.500, 0.500, 0.500], [0.500, 0.000, 0.500], [0.000, 0.000, 0.500], [0.000, 0.000, 0.000], [0.259, 0.017, 0.276], [0.759, 0.017, 0.276], [0.759, 0.517, 0.276], [0.257, 0.514, 0.270], [0.500, 0.500, 0.000], [0.000, 0.500, 0.000], [0.241, 0.983, 0.724]],
  "e_tot_ev_per_atom": -6.4461,
  "sg": "R-3m, No. 166"
}

***

Record 7
{
  "formula": "TlPtBr5",
  "functional": "PBE",
  "state": "relaxed",
  "cell": [[-1.041, 4.698, -5.553], [-1.661, -7.121, -0.726], [-7.814, 1.046, 7.147]],
  "species": ["Tl", "Pt", "Br", "Br", "Br", "Br", "Br", "Br", "Br", "Br", "Tl", "Br", "Pt", "Br"],
  "fractional_positions": [[0.758, 0.508, 0.250], [0.000, 0.000, 0.000], [0.218, 0.402, 0.051], [0.726, 0.976, 0.750], [0.851, 0.167, 0.449], [0.611, 0.364, 0.596], [0.268, 0.014, 0.904], [0.732, 0.986, 0.096], [0.389, 0.636, 0.404], [0.274, 0.024, 0.250], [0.242, 0.492, 0.750], [0.149, 0.833, 0.551], [0.500, 0.000, 0.500], [0.782, 0.598, 0.949]],
  "e_tot_ev_per_atom": -2.7534,
  "sg": "C2/c, No. 15",
  "polymorph_energy_ev_per_fu": 0.00
}

***

Record 8
{
  "formula": "Ce2NdOs",
  "functional": "PBE",
  "state": "relaxed",
  "cell": [[-0.702, 3.444, 1.544], [-3.584, 0.972, 0.975], [0.021, -2.312, 9.939]],
  "species": ["Nd", "Ce", "Os", "Ce"],
  "fractional_positions": [[0.000, 0.000, 0.000], [0.888, 0.888, 0.337], [0.500, 0.500, 0.500], [0.112, 0.112, 0.663]],
  "e_tot_ev_per_atom": -6.7707,
  "sg": "R-3m, No. 166",
  "polymorph_energy_ev_per_fu": 1.28
}

***

Record 9
{
  "formula": "BaCaAl",
  "functional": "PBE",
  "state": "relaxed",
  "cell": [[-0.645, -5.358, 1.273], [4.388, -3.043, 1.494], [0.545, -1.686, 5.254]],
  "species": ["Ba", "Ca", "Al"],
  "fractional_positions": [[0.750, 0.750, 0.750], [0.000, 0.000, 0.000], [0.500, 0.500, 0.500]],
  "e_tot_ev_per_atom": -2.0341,
  "sg": "F-43m, No. 216",
  "polymorph_energy_ev_per_fu": 1.81
}

***

Record 10
{
  "formula": "Li3PaCr2S6",
  "functional": "PBE",
  "state": "relaxed",
  "cell": [[5.978, 0.073, 0.011], [-2.925, 5.215, 0.011], [-1.007, -1.744, 6.293]],
  "species": ["S", "S", "S", "S", "S", "Cr", "Pa", "Cr", "Li", "Li", "S", "Li"],
  "fractional_positions": [[0.076, 0.444, 0.227], [0.924, 0.556, 0.773], [0.444, 0.076, 0.227], [0.723, 0.723, 0.250], [0.556, 0.924, 0.773], [0.640, 0.360, 0.000], [0.000, 0.000, 0.000], [0.360, 0.640, 0.000], [0.833, 0.167, 0.500], [0.500, 0.500, 0.500], [0.277, 0.277, 0.750], [0.167, 0.833, 0.500]],
  "e_tot_ev_per_atom": -6.0388,
  "sg": "C2/m, No. 12"
}

***

Record 11
{
  "formula": "CsTlZn2Cl6",
  "functional": "PBE",
  "state": "relaxed",
  "cell": [[9.808, 0.595, 1.075], [-0.610, 9.807, 1.075], [-1.599, -1.808, 6.734]],
  "species": ["Cl", "Zn", "Cl", "Zn", "Cl", "Cl", "Cl", "Cl", "Cl", "Cs", "Cl", "Cs", "Tl", "Cl", "Zn", "Cl", "Cl", "Zn", "Tl", "Cl"],
  "fractional_positions": [[0.873, 0.829, 0.483], [0.696, 0.868, 0.235], [0.829, 0.873, 0.983], [0.868, 0.696, 0.735], [0.127, 0.171, 0.517], [0.171, 0.127, 0.017], [0.380, 0.920, 0.693], [0.080, 0.620, 0.807], [0.296, 0.465, 0.319], [0.818, 0.182, 0.750], [0.920, 0.380, 0.193], [0.182, 0.818, 0.250], [0.605, 0.395, 0.250], [0.465, 0.296, 0.819], [0.304, 0.132, 0.765], [0.620, 0.080, 0.307], [0.535, 0.704, 0.181], [0.132, 0.304, 0.265], [0.395, 0.605, 0.750], [0.704, 0.535, 0.681]],
  "e_tot_ev_per_atom": -3.0058,
  "sg": "C2/c, No. 15"
}

***

Record 12
{
  "formula": "LiDy3",
  "functional": "PBE",
  "state": "relaxed",
  "cell": [[4.875, 0.000, 0.000], [0.000, 4.875, 0.000], [0.000, 0.000, 4.875]],
  "species": ["Dy", "Dy", "Li", "Dy"],
  "fractional_positions": [[0.500, 0.000, 0.500], [0.000, 0.500, 0.500], [0.000, 0.000, 0.000], [0.500, 0.500, 0.000]],
  "e_tot_ev_per_atom": -3.7350,
  "sg": "Pm-3m, No. 221",
  "polymorph_energy_ev_per_fu": 0.47
}

***

Record 13
{
  "formula": "CdRe3As",
  "functional": "PBE",
  "state": "relaxed",
  "cell": [[4.838, 0.000, 0.000], [0.000, 4.838, 0.000], [0.000, 0.000, 4.838]],
  "species": ["Cd", "Re", "Re", "As", "Re"],
  "fractional_positions": [[0.000, 0.000, 0.000], [0.000, 0.500, 0.000], [0.000, 0.000, 0.500], [0.500, 0.500, 0.500], [0.500, 0.000, 0.000]],
  "e_tot_ev_per_atom": -5.3533,
  "sg": "Pm-3m, No. 221",
  "polymorph_energy_ev_per_fu": 8.36
}

***

Record 14
{
  "formula": "NaAgIrN2",
  "functional": "PBE",
  "state": "relaxed",
  "cell": [[-3.689, -1.770, -0.101], [1.785, -3.851, 2.305], [-0.926, 1.723, 3.595]],
  "species": ["Na", "Ag", "N", "N", "Ir"],
  "fractional_positions": [[0.000, 0.000, 0.000], [0.500, 0.500, 0.500], [0.500, 0.000, 0.000], [0.000, 0.000, 0.500], [0.000, 0.500, 0.000]],
  "e_tot_ev_per_atom": -3.0985,
  "sg": "P4/mmm, No. 123"
}

***

Record 15
{
  "formula": "CsTaW3",
  "functional": "PBE",
  "state": "relaxed",
  "cell": [[-4.012, 2.696, -0.359], [-1.588, -2.842, -3.590], [-2.208, -2.854, 3.236]],
  "species": ["Cs", "W", "W", "W", "Ta"],
  "fractional_positions": [[0.000, 0.000, 0.000], [0.500, 0.000, 0.000], [0.000, 0.500, 0.000], [0.000, 0.000, 0.500], [0.500, 0.500, 0.500]],
  "e_tot_ev_per_atom": -6.3752,
  "sg": "Pm-3m, No. 221",
  "polymorph_energy_ev_per_fu": 6.68
}

***

Record 16
{
  "formula": "Pr2Sm6DyTm3",
  "functional": "PBE",
  "state": "relaxed",
  "cell": [[6.242, -0.001, 0.004], [-3.120, 5.406, 0.004], [-1.046, -1.812, 11.719]],
  "species": ["Sm", "Sm", "Pr", "Tm", "Sm", "Pr", "Sm", "Tm", "Tm", "Dy", "Sm", "Sm"],
  "fractional_positions": [[0.583, 0.915, 0.745], [0.085, 0.417, 0.255], [0.333, 0.667, 0.000], [0.500, 0.500, 0.500], [0.753, 0.753, 0.255], [0.667, 0.333, 0.000], [0.417, 0.085, 0.255], [0.834, 0.166, 0.500], [0.166, 0.834, 0.500], [0.000, 0.000, 0.000], [0.915, 0.583, 0.745], [0.247, 0.247, 0.745]],
  "e_tot_ev_per_atom": -4.6380,
  "sg": "C2/m, No. 12"
}

***

Record 17
{
  "formula": "Ta4PtW3",
  "functional": "PBE",
  "state": "relaxed",
  "cell": [[3.274, 0.000, 0.000], [0.000, 4.582, 0.000], [0.000, 0.000, 9.069]],
  "species": ["Ta", "Pt", "W", "W", "Ta", "W", "Ta", "Ta"],
  "fractional_positions": [[0.000, 0.000, 0.000], [0.500, 0.500, 0.000], [0.500, 0.000, 0.756], [0.500, 0.000, 0.244], [0.000, 0.500, 0.254], [0.500, 0.500, 0.500], [0.000, 0.500, 0.746], [0.000, 0.000, 0.500]],
  "e_tot_ev_per_atom": -11.7565,
  "sg": "Pmmm, No. 47"
}

***

Record 18
{
  "formula": "MnTcOs2",
  "functional": "PBE",
  "state": "relaxed",
  "cell": [[-3.634, 2.742, -1.040], [-2.835, 1.588, -3.353], [-3.437, -3.126, 0.373]],
  "species": ["Os", "Tc", "Os", "Mn"],
  "fractional_positions": [[0.002, 0.002, 0.999], [0.498, 0.498, 0.498], [0.749, 0.749, 0.755], [0.251, 0.251, 0.249]],
  "e_tot_ev_per_atom": -10.4094,
  "sg": "Cm, No. 8",
  "polymorph_energy_ev_per_fu": 0.10
}

***

Record 19
{
  "formula": "Ac4Ce2Bi3N2",
  "functional": "PBE",
  "state": "relaxed",
  "cell": [[-1.485, -4.646, -1.532], [4.659, -1.832, 1.040], [-5.575, 0.320, 12.969]],
  "species": ["N", "Ac", "Bi", "Ac", "Ac", "Bi", "N", "Bi", "Ce", "Ce", "Ac"],
  "fractional_positions": [[0.613, 0.613, 0.225], [0.914, 0.414, 0.829], [0.182, 0.182, 0.363], [0.586, 0.086, 0.171], [0.086, 0.586, 0.171], [0.000, 0.000, 0.000], [0.387, 0.387, 0.775], [0.818, 0.818, 0.637], [0.693, 0.693, 0.386], [0.307, 0.307, 0.614], [0.414, 0.914, 0.829]],
  "e_tot_ev_per_atom": -6.0317,
  "sg": "I4/mmm, No. 139"
}

***

Record 20
{
  "formula": "ZrAgS2F",
  "functional": "PBE",
  "state": "relaxed",
  "cell": [[4.786, 0.000, 0.000], [0.000, 3.956, 0.000], [0.000, 0.000, 4.786]],
  "species": ["Zr", "Ag", "S", "S", "F"],
  "fractional_positions": [[0.500, 0.500, 0.500], [0.000, 0.500, 0.000], [0.500, 0.000, 0.000], [0.000, 0.000, 0.500], [0.000, 0.000, 0.000]],
  "e_tot_ev_per_atom": -4.3388,
  "sg": "P4/mmm, No. 123"
}

***

Record 21
{
  "formula": "LaMoAsBr2",
  "functional": "PBE",
  "state": "relaxed",
  "cell": [[5.701, 0.000, 0.000], [0.000, 5.701, 0.000], [0.000, 0.000, 6.038]],
  "species": ["As", "Mo", "Br", "La", "Br"],
  "fractional_positions": [[0.000, 0.000, 0.500], [0.500, 0.500, 0.500], [0.500, 0.000, 0.000], [0.000, 0.000, 0.000], [0.000, 0.500, 0.000]],
  "e_tot_ev_per_atom": -4.5624,
  "sg": "P4/mmm, No. 123",
  "polymorph_energy_ev_per_fu": 2.35
}

***

Record 22
{
  "formula": "Pm6Pr4Nd",
  "functional": "PBE",
  "state": "relaxed",
  "cell": [[3.662, 0.000, 0.000], [0.000, 11.171, 0.000], [0.000, -5.585, 9.674]],
  "species": ["Pr", "Pm", "Pm", "Pm", "Pr", "Pr", "Pr", "Pm", "Pm", "Nd", "Pm"],
  "fractional_positions": [[0.500, 0.321, 0.160], [0.000, 0.527, 0.055], [0.000, 0.527, 0.473], [0.500, 0.185, 0.815], [0.500, 0.840, 0.679], [0.500, 0.840, 0.160], [0.000, 0.333, 0.667], [0.000, 0.945, 0.473], [0.500, 0.185, 0.369], [0.000, 0.000, 0.000], [0.500, 0.631, 0.815]],
  "e_tot_ev_per_atom": -4.6133,
  "sg": "P-6m2, No. 187",
  "polymorph_energy_ev_per_fu": 0.00
}

***

Record 23
{
  "formula": "Ac4Be3SnPd12",
  "functional": "PBE",
  "state": "relaxed",
  "cell": [[-4.500, -4.153, 5.247], [6.555, -4.292, -1.907], [2.242, 6.995, 3.328]],
  "species": ["Ac", "Pd", "Ac", "Pd", "Pd", "Pd", "Sn", "Pd", "Be", "Pd", "Pd", "Be", "Pd", "Pd", "Pd", "Pd", "Pd", "Ac", "Be", "Ac"],
  "fractional_positions": [[0.500, 0.500, 0.500], [0.277, 0.000, 0.277], [0.000, 0.000, 0.500], [0.723, 0.000, 0.723], [0.000, 0.723, 0.723], [0.500, 0.250, 0.750], [0.000, 0.000, 0.000], [0.250, 0.500, 0.750], [0.000, 0.500, 0.500], [0.250, 0.750, 0.500], [0.277, 0.277, 0.000], [0.500, 0.500, 0.000], [0.750, 0.500, 0.250], [0.723, 0.723, 0.000], [0.750, 0.250, 0.500], [0.000, 0.277, 0.277], [0.500, 0.750, 0.250], [0.500, 0.000, 0.000], [0.500, 0.000, 0.500], [0.000, 0.500, 0.000]],
  "e_tot_ev_per_atom": -5.2973,
  "sg": "Im-3m, No. 229"
}